3
Lattice="-0.550 3.671 -2.746 -4.223 1.714 -0.746 -1.189 4.079 1.809" Properties=species:S:1:pos:R:3 comment="GGA-PBE ScAg2, optimized geometry" e_form_kj_per_mol_atoms=17.6 e_tot_ev_per_atom=-3.8286 pbc="T T T"
Sc 0.000 0.000 0.000
Ag -1.490 2.366 -0.421
Ag -4.471 7.098 -1.263

=====

4
Lattice="3.089 1.582 4.056 -2.004 3.161 3.806 -0.839 -1.931 4.905" Properties=species:S:1:pos:R:3 comment="GGA-PBE RbTaHg2, optimized geometry" e_form_kj_per_mol_atoms=95.3 e_tot_ev_per_atom=-2.3687 pbc="T T T"
Rb 0.000 0.000 0.000
Hg 0.062 0.703 3.192
Hg 0.185 2.108 9.575
Ta 0.123 1.406 6.383

=====

9
Lattice="4.345 0.000 0.000 0.000 8.209 0.373 -2.173 -2.924 7.268" Properties=species:S:1:pos:R:3 comment="GGA-PBE Rb2CeAg2Se4, optimized geometry" raw_formation_energy_ev_per_atom=-1.084 e_tot_ev_per_atom=-4.1408 pbc="T T T"
Ag 2.173 7.031 2.980
Ce 0.000 0.000 0.000
Se 0.000 0.418 2.869
Rb 2.173 1.386 5.455
Se 0.000 -0.957 7.200
Ag 0.000 -1.745 4.662
Se 2.173 6.243 0.441
Rb 0.000 3.900 2.187
Se 2.173 4.867 4.773

=====

11
Lattice="-1.511 4.274 -2.283 -0.907 -3.421 -5.804 -7.728 -2.564 5.956" Properties=species:S:1:pos:R:3 comment="GGA-PBE Tb8ReBi2, optimized geometry" e_form_kj_per_mol_atoms=-22.6 e_tot_ev_per_atom=-5.4385 pbc="T T T"
Re -0.755 2.137 -1.141
Bi -6.405 1.043 0.549
Tb -0.984 -2.705 -4.413
Bi -3.741 -2.754 -2.680
Tb -3.195 1.977 0.174
Tb -9.161 0.994 2.282
Tb -2.659 0.490 -2.965
Tb -7.486 -2.201 0.834
Tb -3.979 -1.304 0.193
Tb -6.167 -0.408 -2.324
Tb -6.950 -3.688 -2.305

=====

8
Lattice="-1.581 4.248 -0.437 -3.630 -1.635 -2.756 -5.472 -1.416 8.047" Properties=species:S:1:pos:R:3 comment="GGA-PBE In2GaBi, optimized geometry" e_form_kj_per_mol_atoms=4.4 e_tot_ev_per_atom=-3.0508 pbc="T T T"
Ga -5.524 0.428 0.641
In -7.248 2.596 5.880
In -3.435 -1.399 -1.027
Bi -3.112 -0.716 2.396
Bi -7.571 1.913 2.457
Ga -5.159 0.769 4.212
In -2.410 1.599 0.099
In -8.273 -0.402 4.754

=====

12
Lattice="5.552 0.000 0.000 0.000 6.503 0.000 0.000 0.000 6.503" Properties=species:S:1:pos:R:3 comment="GGA-PBE Hf4AlFe, optimized geometry" e_form_kj_per_mol_atoms=-22.2 e_tot_ev_per_atom=-8.8997 pbc="T T T"
Hf 2.776 1.222 2.274
Hf 0.000 5.281 2.274
Hf 0.000 2.274 1.222
Fe 4.164 3.251 3.251
Al 4.164 0.000 0.000
Hf 2.776 5.281 4.229
Hf 2.776 2.274 5.281
Fe 1.388 3.251 3.251
Hf 0.000 4.229 5.281
Hf 2.776 4.229 1.222
Al 1.388 0.000 0.000
Hf 0.000 1.222 4.229

=====

Number 1: magnetic moment 0.00 μB per cell. Number 2: magnetic moment 2.07 μB per cell. Number 3: magnetic moment 0.13 μB per cell. Number 4: magnetic moment 0.00 μB per cell. Number 5: magnetic moment 0.00 μB per cell. Number 6: magnetic moment 0.00 μB per cell.